# TaV2O5

A geometry-optimized TaV2O5 structure (PBE+U, Alexandria via LeMat-Bulk).

Summary:
DOS(E_F)	0.39	states/eV/cell
spin magnetization	20.00	Bohr magnetons per cell
calculated volume	11.202	Å³/atom
total energy	-8.618	eV per atom

a b c (Å): 6.4048 6.1459 9.1067
angles (deg): 90.00 90.00 90.00
With the nearest neighbours (Å) after each atom.
Sites, in units of the cell vectors:
1 Ta 0.4230 0.2500 0.4968  6 O 1.96-2.11
2 Ta 0.5770 0.7500 0.5032  6 O 1.96-2.11
3 Ta 0.9230 0.7500 0.0032  6 O 1.96-2.11
4 Ta 0.0770 0.2500 0.9968  6 O 1.96-2.11
5 V 0.5472 0.4803 0.8398  5 O 2.01-2.24
6 V 0.4528 0.5197 0.1602  5 O 2.01-2.24
7 V 0.0472 0.5197 0.6602  5 O 2.01-2.24
8 V 0.4528 0.9803 0.1602  5 O 2.01-2.24
9 V 0.9528 0.4803 0.3398  5 O 2.01-2.24
10 V 0.5472 0.0197 0.8398  5 O 2.01-2.24
11 V 0.9528 0.0197 0.3398  5 O 2.01-2.24
12 V 0.0472 0.9803 0.6602  5 O 2.01-2.24
13 O 0.0688 0.2500 0.4948  4 V 2.13-2.24, 1 Ta 2.27
14 O 0.9312 0.7500 0.5052  4 V 2.13-2.24, 1 Ta 2.27
15 O 0.5688 0.7500 0.0052  4 V 2.13-2.24, 1 Ta 2.27
16 O 0.4312 0.2500 0.9948  4 V 2.13-2.24, 1 Ta 2.27
17 O 0.3391 0.9636 0.5722  2 Ta 1.96-2.11, 1 V 2.04
18 O 0.6609 0.0364 0.4278  2 Ta 1.96-2.11, 1 V 2.04
19 O 0.8391 0.0364 0.9278  2 Ta 1.96-2.11, 1 V 2.04
20 O 0.6609 0.4636 0.4278  2 Ta 1.96-2.11, 1 V 2.04
21 O 0.1609 0.9636 0.0722  2 Ta 1.96-2.11, 1 V 2.04
22 O 0.3391 0.5364 0.5722  2 Ta 1.96-2.11, 1 V 2.04
23 O 0.1609 0.5364 0.0722  2 Ta 1.96-2.11, 1 V 2.04
24 O 0.8391 0.4636 0.9278  2 Ta 1.96-2.11, 1 V 2.04
25 O 0.1401 0.2500 0.7848  1 Ta 1.97, 2 V 2.09
26 O 0.8599 0.7500 0.2152  1 Ta 1.97, 2 V 2.09
27 O 0.6401 0.7500 0.7152  1 Ta 1.97, 2 V 2.09
28 O 0.3599 0.2500 0.2848  1 Ta 1.97, 2 V 2.09
29 O 0.6044 0.2500 0.6889  2 V 2.01, 1 Ta 2.10
30 O 0.3956 0.7500 0.3111  2 V 2.01, 1 Ta 2.10
31 O 0.1044 0.7500 0.8111  2 V 2.01, 1 Ta 2.10
32 O 0.8956 0.2500 0.1889  2 V 2.01, 1 Ta 2.10